# 1
Here is a crystal of BaPbNF2 relaxed with PBEsol from the Alexandria database. Energies are from meta-GGA SCAN.

As for the magnetic moment: 0.17 μB/cell. As for the space group: No. 123. The value obtained for the uncorrected formation energy is -1048.6 meV/atom. As for the crystal system: tetragonal. As for the raw total energy: -27.39 eV/atom.

abc: 4.8003 4.8003 4.9200
angles: 90.00 90.00 90.00
Site moments in Bohr magnetons follow the coordinates.
Fractional coordinates of all 5 atoms:
N: 0.0000 0.0000 0.5000  0.19
Pb: 0.5000 0.5000 0.5000  -0.04
Ba: 0.0000 0.0000 0.0000  0.02
F: 0.5000 0.0000 0.0000  0.00
F: 0.0000 0.5000 0.0000  0.00


# 2
Here is a crystal of ScTlRh2 relaxed with PBEsol from the Alexandria database. Energies are from meta-GGA SCAN.

As for the magnetic moment: 0.00 μB/cell. As for the space group: No. 119. As for the energy relative to the elements: -0.534 eV/atom. For the energy above the most stable polymorph in this dataset, the calculation gives 0.123 eV per atom. As for the crystal system: tetragonal. As for the raw total energy: -39.07 eV/atom.

abc: 3.8536 3.8536 5.1968
angles: 111.76 111.76 90.00
Fractional coordinates of all 4 atoms:
Rh: 0.2500 0.7500 0.5000
Tl: 0.0000 0.0000 0.0000
Sc: 0.7500 0.2500 0.5000
Rh: 0.5000 0.5000 0.0000


# 3
Here is a crystal of KBeTc2B relaxed with PBEsol from the Alexandria database. Energies are from meta-GGA SCAN.

As for the magnetic moment: 0.00 μB/cell. As for the space group: No. 123. As for the energy relative to the elements: 2.142 eV/atom. As for the crystal system: tetragonal. As for the raw total energy: -15.90 eV/atom.

abc: 4.1369 4.1369 4.7019
angles: 90.00 90.00 90.00
Fractional coordinates of all 5 atoms:
Be: 0.0000 0.0000 0.0000
Tc: 0.0000 0.5000 0.0000
B: 0.5000 0.5000 0.5000
K: 0.0000 0.0000 0.5000
Tc: 0.5000 0.0000 0.0000